# SrPdSe

An optimized crystal structure of SrPdSe (PBE, Alexandria via LeMat-Bulk). Values from VASP.

Results
Density of states at the Fermi level, states/eV per cell: 1.7
Formation energy (no corrections), eV/atom: -1.139
Final energy, eV for the cell shown: -27.55
Space group: P1

Cell and atoms, written as Quantum ESPRESSO input:
```
&SYSTEM
  ibrav = 0, nat = 6, ntyp = 3
/
ATOMIC_SPECIES
Pd 106.42 Pd.upf
Sr 87.62 Sr.upf
Se 78.96 Se.upf
ATOMIC_POSITIONS crystal
Pd 0.039 0.062 0.043
Pd 0.363 0.710 0.110
Sr 0.017 0.018 0.397
Sr 0.713 0.409 0.814
Se 0.363 0.710 0.603
Se 0.675 0.335 0.165
CELL_PARAMETERS angstrom
-4.020 1.644 0.795
0.342 -3.834 -2.654
-0.318 -4.389 7.367
```